A:
Density functional theory data (PBE-GGA) for crystalline BaMg3W at its relaxed geometry.

Size of the total moment: 2.0 Bohr magnetons per cell
ρ: 4.2 g/cm³
Density of states at the Fermi level: 1.10 states/eV/atom

Unit cell a=5.381 b=5.381 c=5.381 alpha=90.00 beta=90.00 gamma=90.00
Space group Pm-3m (No. 221)
Unique sites:
Ba (0.000, 0.000, 0.000) x1
Mg (0.000, 0.500, 0.500) x3
W (0.500, 0.500, 0.500) x1


B:
Density functional theory data (PBE-GGA) for crystalline BaMg3W at its relaxed geometry.

Size of the total moment: 0.0 Bohr magnetons per cell
ρ: 3.9 g/cm³
Density of states at the Fermi level: 1.66 states/eV/atom

Unit cell a=5.496 b=5.496 c=5.496 alpha=90.00 beta=90.00 gamma=90.00
Space group Pm-3m (No. 221)
Unique sites:
Ba (0.000, 0.000, 0.000) x1
Mg (0.000, 0.000, 0.500) x3
W (0.500, 0.500, 0.500) x1


Stability verdict: A, ahead by 172.8 kJ/mol of atoms


A:
Density functional theory data (PBE-GGA) for crystalline BaYMg2 at its relaxed geometry.

Size of the total moment: 0.6 Bohr magnetons per cell
ρ: 3.4 g/cm³
Density of states at the Fermi level: 1.33 states/eV/atom

Unit cell a=3.728 b=3.728 c=9.694 alpha=90.00 beta=90.00 gamma=90.00
Space group P4mm (No. 99)
Unique sites:
Ba (0.000, 0.000, 0.000) x1
Y (0.500, 0.500, 0.672) x1
Mg (0.000, 0.000, 0.464) x1
Mg (0.500, 0.500, 0.289) x1


B:
Density functional theory data (PBE-GGA) for crystalline BaYMg2 at its relaxed geometry.

Size of the total moment: 0.2 Bohr magnetons per cell
ρ: 3.4 g/cm³
Density of states at the Fermi level: 1.06 states/eV/atom

Unit cell a=4.006 b=4.006 c=8.381 alpha=90.00 beta=90.00 gamma=90.00
Space group P4/mmm (No. 123)
Unique sites:
Ba (0.000, 0.000, 0.000) x1
Y (0.000, 0.000, 0.500) x1
Mg (0.500, 0.500, 0.297) x2


C:
Density functional theory data (PBE-GGA) for crystalline BaYMg2 at its relaxed geometry.

Size of the total moment: 0.0 Bohr magnetons per cell
ρ: 3.4 g/cm³
Density of states at the Fermi level: 1.23 states/eV/atom

Unit cell a=3.7122 b=3.7122 c=33.9935 alpha=90.00 beta=90.00 gamma=120.00
Space group R-3m (No. 166, hexagonal axes)
Unique sites:
Ba (0.0000, 0.0000, 0.0000) x3
Y (0.0000, 0.0000, 0.5000) x3
Mg (0.0000, 0.0000, 0.2432) x6


D:
Density functional theory data (PBE-GGA) for crystalline BaYMg2 at its relaxed geometry.

Size of the total moment: 0.0 Bohr magnetons per cell
ρ: 3.3 g/cm³
Density of states at the Fermi level: 1.06 states/eV/atom

Unit cell a=6.128 b=3.626 c=6.705 alpha=90.00 beta=113.53 gamma=90.00
Space group P2/m (No. 10)
Unique sites:
Ba (0.000, 0.000, 0.000) x1
Y (0.000, 0.500, 0.500) x1
Mg (0.500, 0.000, 0.500) x1
Mg (0.500, 0.500, 0.000) x1


Stability verdict: B, ahead by 11.9 kJ/mol of atoms


A:
Density functional theory data (PBE-GGA) for crystalline BaYMg2 at its relaxed geometry.

Size of the total moment: 0.0 Bohr magnetons per cell
ρ: 3.5 g/cm³
Density of states at the Fermi level: 1.10 states/eV/atom

Unit cell a=8.013 b=8.013 c=8.013 alpha=90.00 beta=90.00 gamma=90.00
Space group F-43m (No. 216)
Unique sites:
Ba (0.000, 0.000, 0.000) x4
Y (0.250, 0.250, 0.750) x4
Mg (0.000, 0.000, 0.500) x4
Mg (0.250, 0.250, 0.250) x4


B:
Density functional theory data (PBE-GGA) for crystalline BaYMg2 at its relaxed geometry.

Size of the total moment: 0.0 Bohr magnetons per cell
ρ: 3.4 g/cm³
Density of states at the Fermi level: 1.10 states/eV/atom

Unit cell a=8.116 b=8.116 c=8.116 alpha=90.00 beta=90.00 gamma=90.00
Space group Fm-3m (No. 225)
Unique sites:
Ba (0.000, 0.000, 0.000) x4
Y (0.000, 0.000, 0.500) x4
Mg (0.250, 0.250, 0.250) x8


C:
Density functional theory data (PBE-GGA) for crystalline BaYMg2 at its relaxed geometry.

Size of the total moment: 0.0 Bohr magnetons per cell
ρ: 3.5 g/cm³
Density of states at the Fermi level: 0.82 states/eV/atom

Unit cell a=13.123 b=3.804 c=5.885 alpha=90.00 beta=115.95 gamma=90.00
Space group Cm (No. 8)
Unique sites:
Ba (0.000, 0.000, 0.000) x2
Y (0.293, 0.500, 0.298) x2
Mg (0.033, 0.500, 0.531) x2
Mg (0.235, 0.000, 0.740) x2


Stability verdict: B, ahead by 3.5 kJ/mol of atoms


A:
Density functional theory data (PBE-GGA) for crystalline BaYMg2 at its relaxed geometry.

Size of the total moment: 0.0 Bohr magnetons per cell
ρ: 3.1 g/cm³
Density of states at the Fermi level: 1.50 states/eV/atom

Unit cell a=9.123 b=9.123 c=6.968 alpha=90.00 beta=90.00 gamma=90.00
Space group I-42d (No. 122)
Unique sites:
Ba (0.000, 0.000, 0.000) x4
Y (0.000, 0.000, 0.500) x4
Mg (0.222, 0.250, 0.625) x8


B:
Density functional theory data (PBE-GGA) for crystalline BaYMg2 at its relaxed geometry.

Size of the total moment: 0.0 Bohr magnetons per cell
ρ: 3.4 g/cm³
Density of states at the Fermi level: 1.17 states/eV/atom

Unit cell a=5.083 b=5.083 c=10.254 alpha=90.00 beta=90.00 gamma=90.00
Space group I-4m2 (No. 119)
Unique sites:
Ba (0.000, 0.000, 0.000) x2
Y (0.000, 0.500, 0.250) x2
Mg (0.000, 0.000, 0.500) x2
Mg (0.000, 0.500, 0.750) x2


C:
Density functional theory data (PBE-GGA) for crystalline BaYMg2 at its relaxed geometry.

Size of the total moment: 0.0 Bohr magnetons per cell
ρ: 3.2 g/cm³
Density of states at the Fermi level: 1.12 states/eV/atom

Unit cell a=11.108 b=3.614 c=7.176 alpha=90.00 beta=99.38 gamma=90.00
Space group C2/m (No. 12)
Unique sites:
Ba (0.000, 0.000, 0.000) x2
Y (0.000, 0.500, 0.500) x2
Mg (0.242, 0.000, 0.691) x4


Stability verdict: C, ahead by 2.5 kJ/mol of atoms


A:
Density functional theory data (PBE-GGA) for crystalline BaMg2Zn2 at its relaxed geometry.

Size of the total moment: 0.0 Bohr magnetons per cell
ρ: 3.9 g/cm³
Density of states at the Fermi level: 0.83 states/eV/atom

Unit cell a=4.979 b=4.979 c=21.601 alpha=90.00 beta=90.00 gamma=90.00
Space group I4/mmm (No. 139)
Unique sites:
Ba (0.000, 0.000, 0.134) x4
Mg (0.000, 0.000, 0.310) x4
Mg (0.000, 0.500, 0.000) x4
Zn (0.000, 0.000, 0.438) x4
Zn (0.000, 0.500, 0.250) x4


B:
Density functional theory data (PBE-GGA) for crystalline BaMg2Zn2 at its relaxed geometry.

Size of the total moment: 0.0 Bohr magnetons per cell
ρ: 4.4 g/cm³
Density of states at the Fermi level: 0.75 states/eV/atom

Unit cell a=8.709 b=8.709 c=3.178 alpha=90.00 beta=90.00 gamma=90.00
Space group P4/mbm (No. 127)
Unique sites:
Ba (0.000, 0.000, 0.000) x2
Mg (0.123, 0.377, 0.000) x4
Zn (0.169, 0.669, 0.500) x4


C:
Density functional theory data (PBE-GGA) for crystalline BaMg2Zn2 at its relaxed geometry.

Size of the total moment: 0.0 Bohr magnetons per cell
ρ: 3.8 g/cm³
Density of states at the Fermi level: 0.68 states/eV/atom

Unit cell a=11.897 b=4.464 c=5.326 alpha=90.00 beta=104.02 gamma=90.00
Space group C2/m (No. 12)
Unique sites:
Ba (0.000, 0.000, 0.000) x2
Mg (0.158, 0.500, 0.575) x4
Zn (0.234, 0.500, 0.121) x4


D:
Density functional theory data (PBE-GGA) for crystalline BaMg2Zn2 at its relaxed geometry.

Size of the total moment: 0.0 Bohr magnetons per cell
ρ: 4.2 g/cm³
Density of states at the Fermi level: 0.71 states/eV/atom

Unit cell a=8.531 b=8.531 c=3.441 alpha=90.00 beta=90.00 gamma=90.00
Space group P4/mbm (No. 127)
Unique sites:
Ba (0.000, 0.000, 0.000) x2
Mg (0.162, 0.338, 0.500) x4
Zn (0.119, 0.619, 0.000) x4


Stability verdict: C, ahead by 1.9 kJ/mol of atoms


A:
Density functional theory data (PBE-GGA) for crystalline BaMg2Zn2 at its relaxed geometry.

Size of the total moment: 0.0 Bohr magnetons per cell
ρ: 4.0 g/cm³
Density of states at the Fermi level: 0.79 states/eV/atom

Unit cell a=4.612 b=4.612 c=12.464 alpha=90.00 beta=90.00 gamma=90.00
Space group I4/mmm (No. 139)
Unique sites:
Ba (0.000, 0.000, 0.000) x2
Mg (0.000, 0.500, 0.250) x4
Zn (0.000, 0.000, 0.390) x4


B:
Density functional theory data (PBE-GGA) for crystalline BaMg2Zn2 at its relaxed geometry.

Size of the total moment: 0.0 Bohr magnetons per cell
ρ: 3.9 g/cm³
Density of states at the Fermi level: 0.72 states/eV/atom

Unit cell a=5.121 b=5.121 c=10.414 alpha=90.00 beta=90.00 gamma=90.00
Space group I4/mmm (No. 139)
Unique sites:
Ba (0.000, 0.000, 0.000) x2
Mg (0.000, 0.000, 0.357) x4
Zn (0.000, 0.500, 0.250) x4


Stability verdict: A, ahead by 7.7 kJ/mol of atoms


A:
Density functional theory data (PBE-GGA) for crystalline Ba3MgZn at its relaxed geometry.

Size of the total moment: 0.0 Bohr magnetons per cell
ρ: 3.9 g/cm³
Density of states at the Fermi level: 1.14 states/eV/atom

Unit cell a=6.041 b=23.728 c=6.037 alpha=90.00 beta=90.00 gamma=90.00
Space group Cmcm (No. 63)
Unique sites:
Ba (0.000, 0.074, 0.250) x4
Ba (0.000, 0.250, 0.250) x4
Ba (0.000, 0.425, 0.250) x4
Mg (0.000, 0.159, 0.750) x4
Zn (0.000, 0.343, 0.750) x4


B:
Density functional theory data (PBE-GGA) for crystalline Ba3MgZn at its relaxed geometry.

Size of the total moment: 0.7 Bohr magnetons per cell
ρ: 3.1 g/cm³
Density of states at the Fermi level: 2.07 states/eV/atom

Unit cell a=6.423 b=6.423 c=6.423 alpha=90.00 beta=90.00 gamma=90.00
Space group Pm-3m (No. 221)
Unique sites:
Ba (0.000, 0.000, 0.500) x3
Mg (0.500, 0.500, 0.500) x1
Zn (0.000, 0.000, 0.000) x1


Stability verdict: A, ahead by 19.8 kJ/mol of atoms


A:
Density functional theory data (PBE-GGA) for crystalline BaMgZr3 at its relaxed geometry.

Size of the total moment: 1.0 Bohr magnetons per cell
ρ: 4.8 g/cm³
Density of states at the Fermi level: 1.17 states/eV/atom

Unit cell a=5.316 b=5.316 c=5.316 alpha=90.00 beta=90.00 gamma=90.00
Space group Pm-3m (No. 221)
Unique sites:
Ba (0.000, 0.000, 0.000) x1
Mg (0.500, 0.500, 0.500) x1
Zr (0.000, 0.000, 0.500) x3


B:
Density functional theory data (PBE-GGA) for crystalline BaMgZr3 at its relaxed geometry.

Size of the total moment: 0.0 Bohr magnetons per cell
ρ: 4.7 g/cm³
Density of states at the Fermi level: 1.72 states/eV/atom

Unit cell a=5.344 b=5.344 c=5.344 alpha=90.00 beta=90.00 gamma=90.00
Space group Pm-3m (No. 221)
Unique sites:
Ba (0.000, 0.000, 0.000) x1
Mg (0.500, 0.500, 0.500) x1
Zr (0.000, 0.500, 0.500) x3


Stability verdict: B, ahead by 58.5 kJ/mol of atoms


A:
Density functional theory data (PBE-GGA) for crystalline BaMg3Zr at its relaxed geometry.

Size of the total moment: 0.4 Bohr magnetons per cell
ρ: 2.9 g/cm³
Density of states at the Fermi level: 0.75 states/eV/atom

Unit cell a=5.593 b=5.593 c=5.593 alpha=90.00 beta=90.00 gamma=90.00
Space group Pm-3m (No. 221)
Unique sites:
Ba (0.000, 0.000, 0.000) x1
Mg (0.000, 0.000, 0.500) x3
Zr (0.500, 0.500, 0.500) x1


B:
Density functional theory data (PBE-GGA) for crystalline BaMg3Zr at its relaxed geometry.

Size of the total moment: 3.5 Bohr magnetons per cell
ρ: 2.7 g/cm³
Density of states at the Fermi level: 1.36 states/eV/atom

Unit cell a=5.703 b=5.703 c=5.703 alpha=90.00 beta=90.00 gamma=90.00
Space group Pm-3m (No. 221)
Unique sites:
Ba (0.000, 0.000, 0.000) x1
Mg (0.000, 0.500, 0.500) x3
Zr (0.500, 0.500, 0.500) x1


Stability verdict: B, ahead by 90.7 kJ/mol of atoms


A:
Density functional theory data (PBE-GGA) for crystalline Ba5Mn at its relaxed geometry.

Size of the total moment: 4.2 Bohr magnetons per cell
ρ: 3.4 g/cm³
Density of states at the Fermi level: 1.72 states/eV/atom

Unit cell a=7.5725 b=7.5725 c=7.2489 alpha=90.00 beta=90.00 gamma=120.00
Space group P6/mmm (No. 191)
Unique sites:
Ba (0.0000, 0.5000, 0.0000) x3
Ba (0.3333, 0.6667, 0.5000) x2
Mn (0.0000, 0.0000, 0.5000) x1


B:
Density functional theory data (PBE-GGA) for crystalline Ba5Mn at its relaxed geometry.

Size of the total moment: 6.8 Bohr magnetons per cell
ρ: 3.9 g/cm³
Density of states at the Fermi level: 1.46 states/eV/atom

Unit cell a=14.928 b=4.328 c=10.666 alpha=90.00 beta=112.49 gamma=90.00
Space group C2/m (No. 12)
Unique sites:
Ba (0.000, 0.000, 0.000) x2
Ba (0.130, 0.500, 0.373) x4
Ba (0.166, 0.500, 0.780) x4
Mn (0.000, 0.000, 0.500) x2


Stability verdict: B, ahead by 46.1 kJ/mol of atoms